! ReP2SF PBE-GGA optimized geometry; values from VASP
! SG = No. 123
! Formation energy (no corrections) = 1135 meV per atom
! Total magnetic moment = 1.70 μB/cell
! Polymorph energy (0 for the lowest one) = 0.897 eV per atom
! Crystal system = tetragonal
&SYSTEM
  ibrav = 0, nat = 5, ntyp = 4
/
ATOMIC_SPECIES
Re 186.21 Re.upf
S 32.06 S.upf
F 19.00 F.upf
P 30.97 P.upf
CELL_PARAMETERS angstrom
-0.847 -2.167 -3.241
-1.269 -2.983 2.326
-4.410 1.824 -0.067
ATOMIC_POSITIONS angstrom
Re -3.263 -1.663 -0.491
S -2.205 0.912 -0.033
F 0.000 0.000 0.000
P -0.634 -1.491 1.163
P -0.424 -1.083 -1.620

***

! Dy2HoAs3 PBE-GGA optimized geometry; values from VASP
! SG = No. 71
! Total magnetic moment = 0.00 μB/cell
! Formation enthalpy at 0 K = -148.1 kJ/mol of atoms
! Crystal system = orthorhombic
&SYSTEM
  ibrav = 0, nat = 6, ntyp = 3
/
ATOMIC_SPECIES
Dy 162.50 Dy.upf
Ho 164.93 Ho.upf
As 74.92 As.upf
CELL_PARAMETERS angstrom
3.960 0.000 -1.122
-0.609 5.368 -2.148
-0.124 -0.316 7.113
ATOMIC_POSITIONS angstrom
Dy 2.497 0.790 1.266
Dy 0.730 4.262 2.577
Ho -0.304 2.684 -1.074
As 1.037 1.582 3.659
As 0.000 0.000 0.000
As 2.191 3.470 0.184

***

! Dy4FeHg PBE-GGA optimized geometry; values from VASP
! SG = No. 15
! Total magnetic moment = 0.00 μB/cell
! Formation enthalpy at 0 K = -18.3 kJ/mol of atoms
! Crystal system = monoclinic
&SYSTEM
  ibrav = 0, nat = 12, ntyp = 3
/
ATOMIC_SPECIES
Dy 162.50 Dy.upf
Fe 55.84 Fe.upf
Hg 200.59 Hg.upf
CELL_PARAMETERS angstrom
-4.618 1.612 3.656
-2.085 -0.448 -8.850
1.792 -6.571 3.268
ATOMIC_POSITIONS angstrom
Dy 0.581 -5.426 1.334
Dy -3.884 -3.507 -1.460
Dy -0.887 -5.421 -2.037
Dy -2.610 -4.197 -4.659
Dy -2.301 -1.210 2.733
Dy -4.025 0.014 0.112
Dy -1.028 -1.900 -0.466
Dy -5.492 0.019 -3.260
Fe -1.443 -6.598 -4.670
Fe -3.468 1.191 2.744
Hg -2.598 -1.359 -3.339
Hg -2.314 -4.048 1.413

***

> What is the total magnetic moment in the first record?

1.70 μB/cell